# 1
{
  "formula": "Tb4Al2Cd",
  "functional": "PBE",
  "state": "relaxed",
  "energy_ev_per_atom": -4.0787,
  "de_polymorph_ev_per_fu": 0.00,
  "delta_e_f_ev_per_atom": -0.233,
  "spacegroup": "R-3m",
  "dos_at_fermi_per_ev_fu": 6.817,
  "cell": [[2.577, 1.488, 8.279], [-2.577, 1.488, 8.279], [0.000, -2.976, 8.279]],
  "species": ["Tb", "Tb", "Tb", "Tb", "Al", "Al", "Cd"],
  "frac_coords": [[0.117, 0.117, 0.117], [0.370, 0.370, 0.370], [0.630, 0.630, 0.630], [0.883, 0.883, 0.883], [0.247, 0.247, 0.247], [0.753, 0.753, 0.753], [0.500, 0.500, 0.500]]
}

=====

# 2
{
  "formula": "TbPa3Se4",
  "functional": "PBE",
  "state": "relaxed",
  "energy_ev_per_atom": -7.2187,
  "raw_formation_energy_ev_per_atom": -1.337,
  "spacegroup": "Cmmm",
  "dos_at_fermi_per_ev_fu": 12.174,
  "cell": [[8.500, 0.000, 0.000], [0.000, 11.521, 0.000], [0.000, 0.000, 3.892]],
  "species": ["Tb", "Tb", "Pa", "Pa", "Pa", "Pa", "Pa", "Pa", "Se", "Se", "Se", "Se", "Se", "Se", "Se", "Se"],
  "frac_coords": [[0.000, 0.000, 0.000], [0.500, 0.500, 0.000], [0.000, 0.500, 0.000], [0.250, 0.250, 0.500], [0.250, 0.750, 0.500], [0.500, 0.000, 0.000], [0.750, 0.250, 0.500], [0.750, 0.750, 0.500], [0.000, 0.248, 0.000], [0.000, 0.752, 0.000], [0.247, 0.000, 0.500], [0.253, 0.500, 0.500], [0.500, 0.252, 0.000], [0.500, 0.748, 0.000], [0.747, 0.500, 0.500], [0.753, 0.000, 0.500]]
}